This record from Alexandria via LeMat-Bulk describes a geometry-optimized Ac2ErPb3 structure. The functional is GGA-PBE.

Structure (POSCAR):
```
Ac2ErPb3
1.0
5.983 0.000 0.000
0.000 7.535 0.000
-1.533 0.000 8.771
Ac Er Pb
4 2 6
direct
0.000 0.000 0.000
0.000 0.500 0.000
0.357 0.000 0.678
0.643 0.000 0.322
0.363 0.500 0.670
0.637 0.500 0.330
0.148 0.273 0.353
0.148 0.727 0.353
0.500 0.269 0.000
0.500 0.731 0.000
0.852 0.273 0.647
0.852 0.727 0.647
```

energy of formation from the pure elements: -0.446 eV/atom
space group: P2/m
density: 10.44 g/cm3
calculated total energy: -53.2 eV/cell